Record 1
# Ba2PtW (PBE-GGA, relaxed)
data_Ba2PtW
_chemical_formula_sum 'Ba2 Pt1 W1'
_space_group_name_H-M_alt 'P 4/m m m'
_space_group_IT_number 123
_space_group_name_Hall '-P 4 2'
_cell_length_a 3.407
_cell_length_b 3.407
_cell_length_c 9.570
_cell_angle_alpha 90.00
_cell_angle_beta 90.00
_cell_angle_gamma 90.00
loop_
_atom_site_label
_atom_site_type_symbol
_atom_site_fract_x
_atom_site_fract_y
_atom_site_fract_z
_atom_site_occupancy
Ba1 Ba 0.000 0.000 0.226 1
Pt1 Pt 0.500 0.500 0.000 1
W1 W 0.500 0.500 0.500 1
# Density of states at the Fermi level: 1.233 states/eV per atom
# Formation energy: 814 meV per atom

Record 2
# BaPt2W (PBE-GGA, relaxed)
data_BaPt2W
_chemical_formula_sum 'Ba1 Pt2 W1'
_space_group_name_H-M_alt 'P 4/m m m'
_space_group_IT_number 123
_space_group_name_Hall '-P 4 2'
_cell_length_a 3.244
_cell_length_b 3.244
_cell_length_c 8.038
_cell_angle_alpha 90.00
_cell_angle_beta 90.00
_cell_angle_gamma 90.00
loop_
_atom_site_label
_atom_site_type_symbol
_atom_site_fract_x
_atom_site_fract_y
_atom_site_fract_z
_atom_site_occupancy
Ba1 Ba 0.000 0.000 0.000 1
Pt1 Pt 0.500 0.500 0.316 1
W1 W 0.000 0.000 0.500 1
# Density of states at the Fermi level: 1.204 states/eV per atom
# Formation energy: -18 meV per atom

Computed values of total magnetization (unit: μB per formula unit) for the preceding records, in sequence: 0.00; 0.00.
Computed values of E (unit: eV per cell) for the preceding records, in sequence: -19.58; -27.03.